[1]
# TlCo2Br PBE-GGA relaxed
data_TlCo2Br
_chemical_formula_sum 'Tl4 Co8 Br4'
_symmetry_space_group_name_H-M 'F m -3 m'
_symmetry_Int_Tables_number 225
_symmetry_space_group_name_Hall '-F 4 2 3'
_cell_length_a 6.525
_cell_length_b 6.525
_cell_length_c 6.525
_cell_angle_alpha 90.00
_cell_angle_beta 90.00
_cell_angle_gamma 90.00
loop_
_atom_site_label
_atom_site_fract_x
_atom_site_fract_y
_atom_site_fract_z
Tl1 0.000 0.000 0.000
Co1 0.250 0.250 0.250
Br1 0.000 0.000 0.500
# Relative energy among the computed polymorphs = 1.98 eV/f.u.


[2]
# Hf7ZrIn4 PBE-GGA relaxed
data_Hf7ZrIn4
_chemical_formula_sum 'Hf14 Zr2 In8'
_symmetry_space_group_name_H-M 'C 1 2/m 1'
_symmetry_Int_Tables_number 12
_cell_length_a 11.192
_cell_length_b 5.257
_cell_length_c 10.998
_cell_angle_alpha 90.00
_cell_angle_beta 118.68
_cell_angle_gamma 90.00
loop_
_symmetry_equiv_pos_as_xyz
'x,y,z'
'-x,-y,-z'
'-x,y,-z'
'x,-y,z'
'x+1/2,y+1/2,z'
'-x+1/2,-y+1/2,-z'
'-x+1/2,y+1/2,-z'
'x+1/2,-y+1/2,z'
loop_
_atom_site_label
_atom_site_fract_x
_atom_site_fract_y
_atom_site_fract_z
Hf1 0.000 0.000 0.000
Hf2 0.032 0.500 0.379
Hf3 0.148 0.000 0.553
Hf4 0.213 0.500 0.910
Zr1 0.000 0.500 0.000
In1 0.091 0.000 0.781
In2 0.211 0.000 0.316
# Calculated formation energy = 0.263 eV/atom


[3]
# Sr2BrO PBE-GGA relaxed
data_Sr2BrO
_chemical_formula_sum 'Sr8 Br4 O4'
_symmetry_space_group_name_H-M 'I -4 2 d'
_symmetry_Int_Tables_number 122
_symmetry_space_group_name_Hall 'I -4 2bw'
_cell_length_a 6.728
_cell_length_b 6.728
_cell_length_c 11.418
_cell_angle_alpha 90.00
_cell_angle_beta 90.00
_cell_angle_gamma 90.00
loop_
_atom_site_label
_atom_site_fract_x
_atom_site_fract_y
_atom_site_fract_z
Sr1 0.154 0.250 0.125
Br1 0.000 0.000 0.500
O1 0.000 0.000 0.000
# Relative energy among the computed polymorphs = 0.00 eV/f.u.


[4]
# ZrCrCd PBE-GGA relaxed
data_ZrCrCd
_chemical_formula_sum 'Zr4 Cr4 Cd4'
_symmetry_space_group_name_H-M 'F -4 3 m'
_symmetry_Int_Tables_number 216
_symmetry_space_group_name_Hall 'F -4 2 3'
_cell_length_a 6.624
_cell_length_b 6.624
_cell_length_c 6.624
_cell_angle_alpha 90.00
_cell_angle_beta 90.00
_cell_angle_gamma 90.00
loop_
_atom_site_label
_atom_site_fract_x
_atom_site_fract_y
_atom_site_fract_z
Zr1 0.000 0.000 0.000
Cr1 0.250 0.250 0.250
Cd1 0.250 0.250 0.750
# Relative energy among the computed polymorphs = 2.23 eV/f.u.
# Calculated formation energy = 0.930 eV/atom


Let's list spin magnetization in order: 10.9 0.0 2.1 15.8 μB/cell.